DFT (PBE-GGA) results for a geometry-optimized La2Ni3Sb4Ru structure.

a = 4.537 Å, b = 4.537 Å, c = 10.161 Å
α = 90.00°, β = 90.00°, γ = 90.00°
Fractional positions:
Sb  0.000  0.500  0.368
Ni  0.500  0.000  0.881
Ru  0.500  0.500  0.500
La  0.000  0.500  0.745
Ni  0.000  0.000  0.500
Sb  0.500  0.000  0.632
La  0.500  0.000  0.255
Sb  0.500  0.500  0.000
Sb  0.000  0.000  0.000
Ni  0.000  0.500  0.119

**E_tot**: -0.21820 Ha/atom
**Calculated volume**: 20.91 Å³/atom
**DOS(E_F)**: 7.61 states/eV/cell
**M_tot**: 0.00 Bohr magnetons per cell
**Mass density**: 8.27 g/cm3